# PPtBr2

A relaxed PPtBr2 crystal (PBE, the Alexandria database).

Summary:
Mass density: 7.7 Mg/m³
E_form (uncorrected): 0.708 eV per atom
Size of the total moment: 0.00 μB per formula unit

Lattice parameters (Å, degrees): 4.1185 4.1185 17.0009 90.00 90.00 120.00
Space group R-3m (No. 166, hexagonal axes)
Asymmetric unit:
1 P 0.0000 0.0000 0.0000 x3
2 Pt 0.0000 0.0000 0.5000 x3
3 Br 0.0000 0.0000 0.2459 x6